Record 1
Here is a geometry-optimized Zn2CuPt structure from OQMD via LeMat-Bulk. Energies are from PBE-GGA.

Lattice parameters (Å, degrees): 4.2822 4.2822 4.2822 60.00 60.00 60.00
Last column: nearest neighbours and their distance in Å.
Fractional positions:
Cu 0.7500 0.7500 0.7500  8 Zn 2.62
Pt 0.2500 0.2500 0.2500  8 Zn 2.62
Zn 0.0000 0.0000 0.0000  4 Cu 2.62, 4 Pt 2.62
Zn 0.5000 0.5000 0.5000  4 Cu 2.62, 4 Pt 2.62

Output
Its space-group type is Fm-3m, No. 225. The formation energy is -0.346 eV/atom. The calculation puts the total magnetization at 0.00 μB/f.u.

=====

Record 2
Here is a geometry-optimized YSc2In3Pt2 structure from OQMD via LeMat-Bulk. Energies are from PBE-GGA.

Lattice parameters (Å, degrees): 3.4584 7.5988 7.5988 120.32 90.00 90.00
Last column: nearest neighbours and their distance in Å.
Fractional positions:
In 0.5000 0.7671 0.0053  2 Pt 2.87-3.02, 2 In 3.03-3.14, 2 Sc 3.12
In 0.5000 0.2285 0.2285  2 In 3.03, 2 Pt 3.05, 2 Y 3.18, 4 Sc 3.28
In 0.5000 0.0053 0.7671  2 Pt 2.87-3.02, 2 In 3.03-3.14, 2 Sc 3.12
Pt 0.5000 0.6698 0.3251  4 Sc 2.82, 3 In 2.87-3.05, 2 Y 2.92
Pt 0.5000 0.3251 0.6698  4 Sc 2.82, 3 In 2.87-3.05, 2 Y 2.92
Sc 0.0000 0.4231 0.0003  4 Pt 2.82, 2 In 3.12
Sc 0.0000 0.0003 0.4231  4 Pt 2.82, 2 In 3.12
Y 0.0000 0.5806 0.5806  4 Pt 2.92, 2 In 3.18

Output
Its space-group type is Amm2, No. 38. The calculation puts the total magnetization at 0.01 μB/f.u.

=====

Record 3
Here is a geometry-optimized DySnTe3Au structure from OQMD via LeMat-Bulk. Energies are from PBE-GGA.

Lattice parameters (Å, degrees): 12.2683 4.4640 13.2677 90.00 90.00 90.00
Last column: nearest neighbours and their distance in Å.
Fractional positions:
Au 0.7290 0.5000 0.1936  3 Te 2.71-2.74
Au 0.2290 0.0000 0.3064  3 Te 2.71-2.74
Au 0.7710 0.5000 0.6936  3 Te 2.71-2.74
Au 0.2710 0.0000 0.8064  3 Te 2.71-2.74
Dy 0.6945 0.0000 0.0193  6 Te 3.07-3.25, 2 Au 3.24
Dy 0.1945 0.5000 0.4807  6 Te 3.07-3.25, 2 Au 3.24
Dy 0.8055 0.0000 0.5193  6 Te 3.07-3.25, 2 Au 3.24
Dy 0.3055 0.5000 0.9807  6 Te 3.07-3.25, 2 Au 3.24
Sn 0.9194 0.0000 0.2381  3 Te 3.09-3.14, 2 Au 3.28
Sn 0.4194 0.5000 0.2619  3 Te 3.09-3.14, 2 Au 3.28
Sn 0.5806 0.0000 0.7381  3 Te 3.09-3.14, 2 Au 3.28
Sn 0.0806 0.5000 0.7619  3 Te 3.09-3.14, 2 Au 3.28
Te 0.8662 0.5000 0.0336  1 Au 2.71
Te 0.4497 0.0000 0.0980  2 Sn 3.14, 3 Dy 3.18-3.25
Te 0.1783 0.5000 0.1959  2 Au 2.74
Te 0.6783 0.0000 0.3041  2 Au 2.74
Te 0.9497 0.5000 0.4020  2 Sn 3.14, 3 Dy 3.18-3.25
Te 0.3662 0.0000 0.4664  1 Au 2.71
Te 0.6338 0.5000 0.5336  1 Au 2.71
Te 0.0503 0.0000 0.5980  2 Sn 3.14, 3 Dy 3.18-3.25
Te 0.3217 0.5000 0.6959  2 Au 2.74
Te 0.8217 0.0000 0.8041  2 Au 2.74
Te 0.5503 0.5000 0.9020  2 Sn 3.14, 3 Dy 3.18-3.25
Te 0.1338 0.0000 0.9664  1 Au 2.71

Output
Its space-group type is Pnma, No. 62. The calculation puts the energy above the most stable polymorph in this dataset at 18 meV per atom. The calculation puts the total magnetization at 0.00 μB/f.u.

=====

Record 4
Here is a geometry-optimized Gd3SiAg3Ge2 structure from OQMD via LeMat-Bulk. Energies are from PBE-GGA.

Lattice parameters (Å, degrees): 7.2019 7.2019 4.2203 90.00 90.00 120.00
Last column: nearest neighbours and their distance in Å.
Fractional positions:
Ag 0.7552 0.0000 0.5000  2 Si 2.75, 2 Ge 2.77, 2 Ag 3.05
Ag 0.2448 0.2448 0.5000  2 Si 2.75, 2 Ge 2.77, 2 Ag 3.05
Ag 0.0000 0.7552 0.5000  2 Si 2.75, 2 Ge 2.77, 2 Ag 3.05
Gd 0.4147 0.0000 0.0000  1 Si 2.99, 4 Ge 3.03, 2 Ag 3.23
Gd 0.0000 0.4147 0.0000  1 Si 2.99, 4 Ge 3.03, 2 Ag 3.23
Gd 0.5853 0.5853 0.0000  1 Si 2.99, 4 Ge 3.03, 2 Ag 3.23
Ge 0.6667 0.3333 0.5000  3 Ag 2.77, 6 Gd 3.03
Ge 0.3333 0.6667 0.5000  3 Ag 2.77, 6 Gd 3.03
Si 0.0000 0.0000 0.0000  6 Ag 2.75, 3 Gd 2.99

Output
Its space-group type is P-62m, No. 189. The calculation puts the total magnetization at 0.00 μB/f.u.

=====

Record 5
Here is a geometry-optimized GdDyTe2 structure from OQMD via LeMat-Bulk. Energies are from PBE-GGA.

Lattice parameters (Å, degrees): 4.3660 4.3660 6.1815 90.00 90.00 90.00
Last column: nearest neighbours and their distance in Å.
Fractional positions:
Dy 0.0000 0.0000 0.0000  6 Te 3.09
Gd 0.5000 0.5000 0.5000  6 Te 3.09
Te 0.5000 0.5000 0.0000  4 Dy 3.09, 2 Gd 3.09
Te 0.0000 0.0000 0.5000  4 Gd 3.09, 2 Dy 3.09

Output
Its space-group type is P4/mmm, No. 123. The calculation puts the energy above the most stable polymorph in this dataset at 15 meV per atom. The calculation puts the total magnetization at 0.00 μB/f.u.

=====

Record 6
Here is a geometry-optimized Y3Tm3CuTe2 structure from OQMD via LeMat-Bulk. Energies are from PBE-GGA.

Lattice parameters (Å, degrees): 8.3402 8.3402 3.9482 90.00 90.00 120.00
Last column: nearest neighbours and their distance in Å.
Fractional positions:
Cu 0.0000 0.0000 0.0000  6 Tm 2.81
Te 0.6667 0.3333 0.5000  6 Y 3.22, 3 Tm 3.24
Te 0.3333 0.6667 0.5000  6 Y 3.22, 3 Tm 3.24
Tm 0.2406 0.0000 0.5000  2 Cu 2.81
Tm 0.0000 0.2406 0.5000  2 Cu 2.81
Tm 0.7594 0.7594 0.5000  2 Cu 2.81
Y 0.5978 0.0000 0.0000  4 Te 3.22, 1 Cu 3.35, 6 Tm 3.53-3.57
Y 0.4022 0.4022 0.0000  4 Te 3.22, 1 Cu 3.35, 6 Tm 3.53-3.57
Y 0.0000 0.5978 0.0000  4 Te 3.22, 1 Cu 3.35, 6 Tm 3.53-3.57

Output
Its space-group type is P-62m, No. 189. The calculation puts the energy above the most stable polymorph in this dataset at 0 meV per atom. The calculation puts the total magnetization at 0.16 μB/f.u.

=====

Record 7
Here is a geometry-optimized HfAs2O structure from OQMD via LeMat-Bulk. Energies are from PBE-GGA.

Lattice parameters (Å, degrees): 4.4019 4.4019 7.4181 90.00 90.00 90.00
Last column: nearest neighbours and their distance in Å.
Fractional positions:
As 0.0000 0.5000 0.0542  4 O 2.24
As 0.5000 0.0000 0.3051  4 Hf 2.63, 1 As 2.67
As 0.0000 0.5000 0.6949  4 Hf 2.63, 1 As 2.67
As 0.5000 0.0000 0.9458  4 O 2.24
Hf 0.0000 0.0000 0.5000  4 As 2.63
Hf 0.5000 0.5000 0.5000  4 As 2.63
O 0.0000 0.0000 0.0000  4 As 2.24
O 0.5000 0.5000 0.0000  4 As 2.24

Output
Its space-group type is P4/nmm, No. 129. The calculation puts the total magnetization at 0.00 μB/f.u.

=====

Record 8
Here is a geometry-optimized SmSnNO structure from OQMD via LeMat-Bulk. Energies are from PBE-GGA.

Lattice parameters (Å, degrees): 5.8260 8.3654 5.6701 90.00 90.00 90.00
Last column: nearest neighbours and their distance in Å.
Fractional positions:
N 0.8936 0.1022 0.0714  3 Sn 2.15-2.23
N 0.3936 0.8978 0.0714  3 Sn 2.15-2.23
N 0.6064 0.1022 0.5714  3 Sn 2.15-2.23
N 0.1064 0.8978 0.5714  3 Sn 2.15-2.23
O 0.7467 0.4897 0.2109  4 Sm 2.28-2.32
O 0.2467 0.5103 0.2109  4 Sm 2.28-2.32
O 0.7533 0.4897 0.7109  4 Sm 2.28-2.32
O 0.2533 0.5103 0.7109  4 Sm 2.28-2.32
Sm 0.4883 0.3712 0.4636  4 O 2.28-2.32, 1 N 2.43
Sm 0.9883 0.6288 0.4636  4 O 2.28-2.32, 1 N 2.43
Sm 0.0117 0.3712 0.9636  4 O 2.28-2.32, 1 N 2.43
Sm 0.5117 0.6288 0.9636  4 O 2.28-2.32, 1 N 2.43
Sn 0.9673 0.1221 0.4566  3 N 2.15-2.23
Sn 0.4673 0.8779 0.4566  3 N 2.15-2.23
Sn 0.5327 0.1221 0.9566  3 N 2.15-2.23
Sn 0.0327 0.8779 0.9566  3 N 2.15-2.23

Output
Its space-group type is Pca2_1, No. 29. The calculation puts the energy above the most stable polymorph in this dataset at 0 meV per atom. The calculation puts the total magnetization at 0.00 μB/f.u.

=====

Results for E: -3.42; -5.78; -4.19; -4.77; -5.19; -5.42; -6.41; -7.09 (in eV per atom, following the order of the records).